An optimized crystal structure of YGa2Ni3, computed with GGA-PBE.

Computed properties:
The value obtained for the density of states at the Fermi level is 0.619 states/eV per atom. The formation enthalpy at 0 K is -0.520 eV/atom. As for the space-group type: P6_3/mmc, No. 194. The calculation puts the calculated total energy at -65.96 eV per cell. The value obtained for the total moment is 0.00 μB per formula unit. The crystal system is hexagonal.

a = 4.1341 Å, b = 4.1341 Å, c = 12.2879 Å
α = 90.00°, β = 90.00°, γ = 120.00°
Element x y z (fractional)
Y 0.0000 0.0000 0.2500
Y 0.0000 0.0000 0.7500
Ga 0.3333 0.6667 0.0830
Ga 0.3333 0.6667 0.4170
Ga 0.6667 0.3333 0.5830
Ga 0.6667 0.3333 0.9170
Ni 0.0000 0.0000 0.0000
Ni 0.0000 0.0000 0.5000
Ni 0.3333 0.6667 0.6171
Ni 0.3333 0.6667 0.8829
Ni 0.6667 0.3333 0.1171
Ni 0.6667 0.3333 0.3829